The following is a DFT calculation (PBE) of crystalline Na2PmGe3Pt4 at its relaxed geometry.

It has space group P-4m2 (No. 115), with a = 4.398 Å, b = 4.398 Å, c = 10.826 Å, α = 90.00°, β = 90.00° and γ = 90.00°. The inequivalent atoms are Na at (0.000, 0.500, 0.223), Pm at (0.000, 0.000, 0.500), Ge at (0.000, 0.500, 0.884), Ge at (0.500, 0.500, 0.500), Pt at (0.000, 0.000, 0.000), Pt at (0.000, 0.500, 0.660) and Pt at (0.500, 0.500, 0.000).

The final energy comes out at -5.100 eV per atom. The value obtained for the calculated density is 9.4 g/cm3.



The following is a DFT calculation (PBE) of crystalline Na3Pm3GeS8 at its relaxed geometry.

It has space group R-3m (No. 166, hexagonal axes), with a = 8.0192 Å, b = 8.0192 Å, c = 20.2018 Å, α = 90.00°, β = 90.00° and γ = 120.00°. The inequivalent atoms are Na at (0.0000, 0.5000, 0.0000), Pm at (0.0000, 0.5000, 0.5000), Ge at (0.0000, 0.0000, 0.5000), S at (0.0000, 0.0000, 0.2437) and S at (0.0382, 0.5191, 0.2377).

The final energy comes out at -5.146 eV per atom. For the formation energy without anion corrections, the calculation gives -1.423 eV per atom. The value obtained for the calculated density is 3.7 g/cm3.